(1)
# GGA-PBEsol Zr2ScOs, relaxed
data_Zr2ScOs
_cell_length_a 3.225
_cell_length_b 3.225
_cell_length_c 7.575
_cell_angle_alpha 90.00
_cell_angle_beta 90.00
_cell_angle_gamma 90.00
_symmetry_space_group_name_H-M 'P 4 m m'
_symmetry_Int_Tables_number 99
loop_
_symmetry_equiv_pos_as_xyz
'x,y,z'
'-y,x,z'
'-x,-y,z'
'y,-x,z'
'-x,y,z'
'y,x,z'
'x,-y,z'
'-y,-x,z'
loop_
_atom_site_label
_atom_site_type_symbol
_atom_site_fract_x
_atom_site_fract_y
_atom_site_fract_z
Zr1 Zr 0.000 0.000 0.000
Zr2 Zr 0.500 0.500 0.275
Sc1 Sc 0.500 0.500 0.691
Os1 Os 0.000 0.000 0.484
# - magnetic moment (μB per cell) = 0.0
# - formation energy from the elements (eV per formula unit) = -1.0
# - energy (eV per cell) = -38.00
# - V (A^3/atom) = 19.696
# - density of states at the Fermi level (states/eV/f.u.) = 3.0

(2)
# GGA-PBEsol Li10Zn4O9, relaxed
data_Li10Zn4O9
_cell_length_a 9.667
_cell_length_b 9.667
_cell_length_c 4.636
_cell_angle_alpha 90.00
_cell_angle_beta 90.00
_cell_angle_gamma 90.00
_symmetry_space_group_name_H-M 'P 42/n m c'
_symmetry_Int_Tables_number 137
loop_
_symmetry_equiv_pos_as_xyz
'x,y,z'
'-x,-y,-z'
'-y+1/2,x,z+1/2'
'y+1/2,-x,-z+1/2'
'-x+1/2,-y+1/2,z'
'x+1/2,y+1/2,-z'
'y,-x+1/2,z+1/2'
'-y,x+1/2,-z+1/2'
'x+1/2,-y,-z'
'-x+1/2,y,z'
'-y,-x,-z+1/2'
'y,x,z+1/2'
'-x,y+1/2,-z'
'x,-y+1/2,z'
'y+1/2,x+1/2,-z+1/2'
'-y+1/2,-x+1/2,z+1/2'
loop_
_atom_site_label
_atom_site_type_symbol
_atom_site_fract_x
_atom_site_fract_y
_atom_site_fract_z
Li1 Li 0.062 0.106 0.040
Li2 Li 0.250 0.250 0.082
Zn1 Zn 0.088 0.750 0.481
O1 O 0.076 0.576 0.250
O2 O 0.093 0.250 0.321
O3 O 0.250 0.750 0.750
# - magnetic moment (μB per cell) = 0.0
# - formation energy from raw total energies (eV/atom) = -1.73
# - energy (eV per cell) = -226.27
# - V (A^3/atom) = 9.418
# - density of states at the Fermi level (states/eV/f.u.) = 0.0

(3)
# GGA-PBEsol ZrReRu2, relaxed
data_ZrReRu2
_cell_length_a 9.420
_cell_length_b 2.873
_cell_length_c 4.649
_cell_angle_alpha 90.00
_cell_angle_beta 101.72
_cell_angle_gamma 90.00
_symmetry_space_group_name_H-M 'C 1 m 1'
_symmetry_Int_Tables_number 8
loop_
_symmetry_equiv_pos_as_xyz
'x,y,z'
'x,-y,z'
'x+1/2,y+1/2,z'
'x+1/2,-y+1/2,z'
loop_
_atom_site_label
_atom_site_type_symbol
_atom_site_fract_x
_atom_site_fract_y
_atom_site_fract_z
Zr1 Zr 0.000 0.000 0.000
Re1 Re 0.224 0.000 0.677
Ru1 Ru 0.261 0.500 0.218
Ru2 Ru 0.491 0.000 0.504
# - magnetic moment (μB per cell) = 0.0
# - formation energy from the elements (eV per formula unit) = -0.1
# - energy (eV per cell) = -85.67
# - V (A^3/atom) = 15.397
# - density of states at the Fermi level (states/eV/f.u.) = 3.8
# - relative energy among the computed polymorphs (meV/atom) = 0

(4)
# GGA-PBEsol SrRhN2, relaxed
data_SrRhN2
_cell_length_a 4.986
_cell_length_b 4.986
_cell_length_c 10.121
_cell_angle_alpha 90.00
_cell_angle_beta 90.00
_cell_angle_gamma 90.00
_symmetry_space_group_name_H-M 'I -4 2 d'
_symmetry_Int_Tables_number 122
_symmetry_space_group_name_Hall 'I -4 2bw'
loop_
_atom_site_label
_atom_site_type_symbol
_atom_site_fract_x
_atom_site_fract_y
_atom_site_fract_z
Sr1 Sr 0.000 0.000 0.000
Rh1 Rh 0.000 0.000 0.500
N1 N 0.150 0.250 0.625
# - magnetic moment (μB per cell) = 0.0
# - formation energy from raw total energies (eV/atom) = -0.10
# - energy (eV per cell) = -109.65
# - V (A^3/atom) = 15.726
# - density of states at the Fermi level (states/eV/f.u.) = 2.2
# - relative energy among the computed polymorphs (meV/atom) = 0

(5)
# GGA-PBEsol CdRePt2, relaxed
data_CdRePt2
_cell_length_a 2.7989
_cell_length_b 2.7989
_cell_length_c 27.5881
_cell_angle_alpha 90.00
_cell_angle_beta 90.00
_cell_angle_gamma 120.00
_symmetry_space_group_name_H-M 'R -3 m'
_symmetry_Int_Tables_number 166
_symmetry_space_group_name_Hall '-R 3 2"'
loop_
_atom_site_label
_atom_site_type_symbol
_atom_site_fract_x
_atom_site_fract_y
_atom_site_fract_z
Cd1 Cd 0.0000 0.0000 0.0000
Re1 Re 0.0000 0.0000 0.5000
Pt1 Pt 0.0000 0.0000 0.2456
# - magnetic moment (μB per cell) = 0.0
# - formation energy from the elements (eV per formula unit) = -0.3
# - energy (eV per cell) = -86.18
# - V (A^3/atom) = 15.597
# - density of states at the Fermi level (states/eV/f.u.) = 3.4

(6)
# GGA-PBEsol Li3Mn3TeO8, relaxed
data_Li3Mn3TeO8
_cell_length_a 6.045
_cell_length_b 6.229
_cell_length_c 10.236
_cell_angle_alpha 90.00
_cell_angle_beta 124.00
_cell_angle_gamma 90.00
_symmetry_space_group_name_H-M 'P 1 2/c 1'
_symmetry_Int_Tables_number 13
loop_
_symmetry_equiv_pos_as_xyz
'x,y,z'
'-x,-y,-z'
'-x,y,-z+1/2'
'x,-y,z+1/2'
loop_
_atom_site_label
_atom_site_type_symbol
_atom_site_fract_x
_atom_site_fract_y
_atom_site_fract_z
Li1 Li 0.000 0.000 0.000
Li2 Li 0.000 0.500 0.000
Li3 Li 0.500 0.246 0.250
Mn1 Mn 0.000 0.250 0.750
Mn2 Mn 0.500 0.000 0.000
Mn3 Mn 0.500 0.500 0.000
Te1 Te 0.000 0.254 0.250
O1 O 0.214 0.252 0.479
O2 O 0.224 0.477 0.247
O3 O 0.240 0.030 0.261
O4 O 0.278 0.230 0.989
# - magnetic moment (μB per cell) = 27.3
# - formation energy from raw total energies (eV/atom) = -1.52
# - energy (eV per cell) = -207.02
# - V (A^3/atom) = 10.652
# - density of states at the Fermi level (states/eV/f.u.) = 4.1

(7)
# GGA-PBEsol Mn2SiMo, relaxed
data_Mn2SiMo
_cell_length_a 5.071
_cell_length_b 8.045
_cell_length_c 2.607
_cell_angle_alpha 90.00
_cell_angle_beta 114.10
_cell_angle_gamma 90.00
_symmetry_space_group_name_H-M 'C 1 2/m 1'
_symmetry_Int_Tables_number 12
loop_
_symmetry_equiv_pos_as_xyz
'x,y,z'
'-x,-y,-z'
'-x,y,-z'
'x,-y,z'
'x+1/2,y+1/2,z'
'-x+1/2,-y+1/2,-z'
'-x+1/2,y+1/2,-z'
'x+1/2,-y+1/2,z'
loop_
_atom_site_label
_atom_site_type_symbol
_atom_site_fract_x
_atom_site_fract_y
_atom_site_fract_z
Mn1 Mn 0.250 0.250 0.000
Si1 Si 0.000 0.000 0.500
Mo1 Mo 0.000 0.500 0.500
# - magnetic moment (μB per cell) = 3.8
# - formation energy from raw total energies (eV/atom) = -0.04
# - energy (eV per cell) = -74.40
# - V (A^3/atom) = 12.133
# - density of states at the Fermi level (states/eV/f.u.) = 4.3

(8)
# GGA-PBEsol Li4Mn3CoO8, relaxed
data_Li4Mn3CoO8
_cell_length_a 4.936
_cell_length_b 4.995
_cell_length_c 5.943
_cell_angle_alpha 92.60
_cell_angle_beta 94.29
_cell_angle_gamma 106.82
_symmetry_space_group_name_H-M 'P -1'
_symmetry_Int_Tables_number 2
loop_
_symmetry_equiv_pos_as_xyz
'x,y,z'
'-x,-y,-z'
loop_
_atom_site_label
_atom_site_type_symbol
_atom_site_fract_x
_atom_site_fract_y
_atom_site_fract_z
Li1 Li 0.000 0.000 0.000
Li2 Li 0.000 0.000 0.500
Li3 Li 0.490 0.998 0.259
Mn1 Mn 0.002 0.509 0.743
Mn2 Mn 0.500 0.500 0.000
Co1 Co 0.500 0.500 0.500
O1 O 0.241 0.260 0.264
O2 O 0.256 0.736 0.481
O3 O 0.256 0.738 0.983
O4 O 0.277 0.297 0.732
# - magnetic moment (μB per cell) = 11.9
# - formation energy from raw total energies (eV/atom) = -1.71
# - energy (eV per cell) = -114.26
# - V (A^3/atom) = 8.720
# - density of states at the Fermi level (states/eV/f.u.) = 2.2
# - relative energy among the computed polymorphs (meV/atom) = 39

(9)
# GGA-PBEsol Sc2SnPdAu, relaxed
data_Sc2SnPdAu
_cell_length_a 4.970
_cell_length_b 4.970
_cell_length_c 4.922
_cell_angle_alpha 90.00
_cell_angle_beta 90.00
_cell_angle_gamma 90.00
_symmetry_space_group_name_H-M 'P 4/m m m'
_symmetry_Int_Tables_number 123
_symmetry_space_group_name_Hall '-P 4 2'
loop_
_atom_site_label
_atom_site_type_symbol
_atom_site_fract_x
_atom_site_fract_y
_atom_site_fract_z
Sc1 Sc 0.000 0.500 0.000
Sn1 Sn 0.000 0.000 0.500
Pd1 Pd 0.500 0.500 0.500
Au1 Au 0.500 0.500 0.000
# - magnetic moment (μB per cell) = 0.0
# - formation energy from the elements (eV per formula unit) = 0.2
# - energy (eV per cell) = -27.16
# - V (A^3/atom) = 24.317
# - density of states at the Fermi level (states/eV/f.u.) = 3.9

(10)
# GGA-PBEsol Y2ScW, relaxed
data_Y2ScW
_cell_length_a 10.532
_cell_length_b 3.131
_cell_length_c 5.637
_cell_angle_alpha 90.00
_cell_angle_beta 100.52
_cell_angle_gamma 90.00
_symmetry_space_group_name_H-M 'C 1 2/m 1'
_symmetry_Int_Tables_number 12
loop_
_symmetry_equiv_pos_as_xyz
'x,y,z'
'-x,-y,-z'
'-x,y,-z'
'x,-y,z'
'x+1/2,y+1/2,z'
'-x+1/2,-y+1/2,-z'
'-x+1/2,y+1/2,-z'
'x+1/2,-y+1/2,z'
loop_
_atom_site_label
_atom_site_type_symbol
_atom_site_fract_x
_atom_site_fract_y
_atom_site_fract_z
Y1 Y 0.235 0.000 0.237
Sc1 Sc 0.000 0.000 0.500
W1 W 0.000 0.500 0.000
# - magnetic moment (μB per cell) = 0.0
# - formation energy from the elements (eV per formula unit) = 2.0
# - energy (eV per cell) = -64.16
# - V (A^3/atom) = 22.845
# - density of states at the Fermi level (states/eV/f.u.) = 4.8
# - relative energy among the computed polymorphs (meV/atom) = 128

(11)
# GGA-PBEsol Zn2FeCo, relaxed
data_Zn2FeCo
_cell_length_a 3.563
_cell_length_b 3.563
_cell_length_c 7.459
_cell_angle_alpha 90.00
_cell_angle_beta 90.00
_cell_angle_gamma 90.00
_symmetry_space_group_name_H-M 'I 4/m m m'
_symmetry_Int_Tables_number 139
_symmetry_space_group_name_Hall '-I 4 2'
loop_
_atom_site_label
_atom_site_type_symbol
_atom_site_fract_x
_atom_site_fract_y
_atom_site_fract_z
Zn1 Zn 0.000 0.500 0.250
Fe1 Fe 0.000 0.000 0.000
Co1 Co 0.000 0.000 0.500
# - magnetic moment (μB per cell) = 7.3
# - formation energy from the elements (eV per formula unit) = 0.1
# - energy (eV per cell) = -39.52
# - V (A^3/atom) = 11.835
# - density of states at the Fermi level (states/eV/f.u.) = 4.2
# - relative energy among the computed polymorphs (meV/atom) = 38

(12)
# GGA-PBEsol IrRu5, relaxed
data_IrRu5
_cell_length_a 4.6658
_cell_length_b 4.6658
_cell_length_c 4.2642
_cell_angle_alpha 90.00
_cell_angle_beta 90.00
_cell_angle_gamma 120.00
_symmetry_space_group_name_H-M 'P -6 2 m'
_symmetry_Int_Tables_number 189
_symmetry_space_group_name_Hall 'P -6 -2'
loop_
_atom_site_label
_atom_site_type_symbol
_atom_site_fract_x
_atom_site_fract_y
_atom_site_fract_z
Ir1 Ir 0.0000 0.0000 0.0000
Ru1 Ru 0.0000 0.6645 0.5000
Ru2 Ru 0.3333 0.6667 0.0000
# - magnetic moment (μB per cell) = 0.0
# - formation energy from the elements (eV per formula unit) = -0.2
# - energy (eV per cell) = -60.91
# - V (A^3/atom) = 13.399
# - density of states at the Fermi level (states/eV/f.u.) = 4.4
# - relative energy among the computed polymorphs (meV/atom) = 0